[1]
Below is Er3TmPd2 after structural relaxation, with properties calculated at the PBE level.

abc: 3.724 8.450 9.655
angles: 90.00 90.00 90.00
Positions (direct):
Pd 0.500 0.763 0.927
Pd 0.000 0.237 0.572
Er 0.000 0.490 0.933
Er 0.000 0.990 0.067
Tm 0.500 0.010 0.434
Er 0.500 0.171 0.784
Tm 0.500 0.510 0.566
Er 0.500 0.671 0.216
Pd 0.500 0.263 0.073
Er 0.000 0.329 0.285
Pd 0.000 0.737 0.428
Er 0.000 0.829 0.715

DFT formation energy = -0.62 eV/atom
density = 9.66 g/cm³
ΔE to the lowest computed polymorph = 0 meV per atom

***

[2]
Below is Er4TmPd2 after structural relaxation, with properties calculated at the PBE level.

abc: 3.825 3.825 15.585
angles: 82.95 82.95 60.00
Positions (direct):
Er 0.302 0.302 0.094
Er 0.106 0.106 0.681
Pd 0.402 0.402 0.794
Pd 0.598 0.598 0.206
Er 0.698 0.698 0.906
Er 0.894 0.894 0.319
Tm 0.500 0.500 0.500

DFT formation energy = -0.36 eV/atom
density = 8.93 g/cm³
ΔE to the lowest computed polymorph = 96 meV per atom

***

[3]
Below is Er3Tm2Pd3 after structural relaxation, with properties calculated at the PBE level.

abc: 3.509 5.107 10.849
angles: 103.61 99.31 90.00
Positions (direct):
Pd 0.885 0.885 0.770
Er 0.616 0.616 0.233
Er 0.500 0.000 0.000
Pd 0.000 0.500 0.000
Er 0.384 0.384 0.767
Tm 0.274 0.774 0.548
Pd 0.115 0.115 0.230
Tm 0.726 0.226 0.452

DFT formation energy = -0.67 eV/atom
density = 10.33 g/cm³

***

[4]
Below is ErTmPd after structural relaxation, with properties calculated at the PBE level.

abc: 7.311 7.311 9.595
angles: 90.00 90.00 120.00
Positions (direct):
Er 0.737 0.737 0.000
Pd 0.667 0.333 0.000
Pd 0.000 0.000 0.750
Pd 0.333 0.667 0.500
Tm 0.000 0.593 0.750
Er 0.263 0.000 0.500
Er 0.000 0.263 0.500
Tm 0.593 0.000 0.750
Tm 0.407 0.407 0.250
Tm 0.407 0.407 0.750
Er 0.737 0.737 0.500
Tm 0.593 0.000 0.250
Er 0.000 0.263 0.000
Er 0.263 0.000 0.000
Tm 0.000 0.593 0.250
Pd 0.333 0.667 0.000
Pd 0.000 0.000 0.250
Pd 0.667 0.333 0.500

DFT formation energy = -0.60 eV/atom
density = 9.93 g/cm³
ΔE to the lowest computed polymorph = 55 meV per atom

***

Values for volume, A^3/atom, ordered as above
25.3, 27.9, 23.3, 24.7
Values for D(E_F), states/eV per cell, ordered as above
12.37, 8.71, 6.87, 20.20
Values for magnetization, μB/cell, ordered as above
0.00, 0.00, 0.00, 0.00